# 1
ZrTaIn4: optimized geometry, PBE-GGA.

Summary:
- ΔE_f (eV per atom) = 0.34
- size of the total moment (μB/f.u.) = 0.0
- calculated density (g cm⁻³) = 9.30
- space group = F-43m

abc: 5.696 5.696 5.696
angles: 60.00 60.00 60.00
Fractional coordinates of all 6 atoms:
In 0.375 0.875 0.375
In 0.375 0.375 0.875
In 0.875 0.375 0.375
In 0.375 0.375 0.375
Zr 0.000 0.000 0.000
Ta 0.750 0.750 0.750

---

# 2
Zr2TaIn: optimized geometry, PBE-GGA.

Summary:
- ΔE_f (eV per atom) = -0.07
- size of the total moment (μB/f.u.) = 0.0
- calculated density (g cm⁻³) = 9.21
- space group = Cmmm

abc: 3.054 3.054 9.466
angles: 90.00 90.00 102.59
Fractional coordinates of all 4 atoms:
Zr 0.000 0.000 0.987
Zr 0.000 0.000 0.513
In 0.500 0.500 0.250
Ta 0.500 0.500 0.750

---

# 3
ZrTa4In: optimized geometry, PBE-GGA.

Summary:
- ΔE_f (eV per atom) = 0.17
- size of the total moment (μB/f.u.) = 0.0
- calculated density (g cm⁻³) = 12.64
- space group = F-43m

abc: 5.570 5.570 5.570
angles: 60.00 60.00 60.00
Fractional coordinates of all 6 atoms:
In 0.000 0.000 0.000
Ta 0.377 0.869 0.377
Ta 0.869 0.377 0.377
Ta 0.377 0.377 0.377
Ta 0.377 0.377 0.869
Zr 0.750 0.750 0.750

---

# 4
Zr2TaIn: optimized geometry, PBE-GGA.

Summary:
- ΔE_f (eV per atom) = 0.47
- size of the total moment (μB/f.u.) = 0.0
- calculated density (g cm⁻³) = 8.74
- space group = I-42d

abc: 7.879 7.879 6.293
angles: 51.24 51.24 90.00
Fractional coordinates of all 8 atoms:
In 0.500 0.500 0.000
In 0.250 0.750 0.500
Zr 0.875 0.882 0.750
Zr 0.632 0.125 0.250
Zr 0.118 0.625 0.250
Zr 0.375 0.368 0.750
Ta 0.750 0.250 0.500
Ta 0.000 0.000 0.000

---

# 5
Zr4TaIn3: optimized geometry, PBE-GGA.

Summary:
- ΔE_f (eV per atom) = -0.21
- size of the total moment (μB/f.u.) = 0.0
- calculated density (g cm⁻³) = 8.51
- space group = I4/mmm

abc: 4.763 4.762 8.365
angles: 106.52 106.54 90.00
Fractional coordinates of all 8 atoms:
Zr 0.119 0.119 0.239
Zr 0.881 0.881 0.761
Zr 0.619 0.619 0.239
Zr 0.381 0.381 0.761
In 0.746 0.246 0.492
In 0.000 0.500 0.000
In 0.254 0.754 0.508
Ta 0.500 0.000 0.000

---

# 6
Zr2TaIn: optimized geometry, PBE-GGA.

Summary:
- ΔE_f (eV per atom) = 0.11
- size of the total moment (μB/f.u.) = 0.0
- calculated density (g cm⁻³) = 9.05
- space group = R3m

abc: 10.251 10.251 10.251
angles: 17.78 17.78 17.78
Fractional coordinates of all 4 atoms:
Ta 0.750 0.750 0.750
Zr 0.250 0.250 0.250
Zr 0.003 0.003 0.003
In 0.497 0.497 0.497

---

# 7
Zr2TaIn: optimized geometry, PBE-GGA.

Summary:
- ΔE_f (eV per atom) = 0.00
- size of the total moment (μB/f.u.) = 0.0
- calculated density (g cm⁻³) = 9.26
- space group = Cm

abc: 5.425 5.425 5.392
angles: 79.37 79.37 33.41
Fractional coordinates of all 4 atoms:
In 0.507 0.507 0.503
Ta 0.245 0.245 0.251
Zr 0.757 0.757 0.732
Zr 0.991 0.991 0.014

---

# 8
Zr2TaIn: optimized geometry, PBE-GGA.

Summary:
- ΔE_f (eV per atom) = -0.12
- size of the total moment (μB/f.u.) = 0.0
- calculated density (g cm⁻³) = 9.23
- space group = P4/mmm

abc: 3.551 3.551 6.819
angles: 90.00 90.00 90.00
Fractional coordinates of all 4 atoms:
In 0.500 0.500 0.250
Zr 0.000 0.000 0.983
Zr 0.000 0.000 0.517
Ta 0.500 0.500 0.750

---

# 9
ZrTa3In: optimized geometry, PBE-GGA.

Summary:
- ΔE_f (eV per atom) = 1.84
- size of the total moment (μB/f.u.) = 0.0
- energy above the most stable polymorph in this dataset (meV per atom) = 81
- calculated density (g cm⁻³) = 9.97
- space group = Pm-3m

abc: 4.997 4.997 4.997
angles: 90.00 90.00 90.00
Fractional coordinates of all 5 atoms:
In 0.000 0.000 0.000
Ta 0.500 0.000 0.000
Ta 0.000 0.500 0.000
Ta 0.000 0.000 0.500
Zr 0.500 0.500 0.500

---

# 10
Zr2TaIn: optimized geometry, PBE-GGA.

Summary:
- ΔE_f (eV per atom) = 0.05
- size of the total moment (μB/f.u.) = 0.0
- calculated density (g cm⁻³) = 9.26
- space group = C2/m

abc: 5.306 5.306 5.513
angles: 81.60 81.60 33.98
Fractional coordinates of all 4 atoms:
Zr 0.498 0.498 0.498
Zr 0.002 0.002 0.002
In 0.750 0.750 0.750
Ta 0.250 0.250 0.250

---

# 11
ZrTa3In: optimized geometry, PBE-GGA.

Summary:
- ΔE_f (eV per atom) = 1.76
- size of the total moment (μB/f.u.) = 0.0
- energy above the most stable polymorph in this dataset (meV per atom) = 0
- calculated density (g cm⁻³) = 10.34
- space group = Pm-3m

abc: 4.935 4.935 4.935
angles: 90.00 90.00 90.00
Fractional coordinates of all 5 atoms:
Ta 0.500 0.000 0.000
Ta 0.000 0.000 0.500
Ta 0.000 0.500 0.000
Zr 0.000 0.000 0.000
In 0.500 0.500 0.500

---

# 12
Zr2TaIn: optimized geometry, PBE-GGA.

Summary:
- ΔE_f (eV per atom) = 0.06
- size of the total moment (μB/f.u.) = 0.0
- calculated density (g cm⁻³) = 9.25
- space group = P4mm

abc: 3.006 3.006 9.495
angles: 90.00 90.00 90.00
Fractional coordinates of all 4 atoms:
Ta 0.500 0.500 0.745
Zr 0.000 0.000 0.989
Zr 0.500 0.500 0.257
In 0.000 0.000 0.509